1.
AlAu2C | GGA-PBE | relaxed

Computed properties:
As for the final energy: -3.784 eV/atom. The calculation puts the formation energy from the elements at 1.10 eV per atom. The calculation puts the total magnetization at 0.00 Bohr magnetons per cell. As for the offset from the most stable computed form: 1.356 eV/f.u.

Lattice parameters (Å, degrees): 4.3855 4.3855 4.3855 60.00 60.00 60.00
Element x y z (fractional)
Al 0.5000 0.5000 0.5000
Au 0.7500 0.7500 0.7500
Au 0.2500 0.2500 0.2500
C 0.0000 0.0000 0.0000



2.
ZnFe2B | GGA-PBE | relaxed

Computed properties:
As for the final energy: -6.271 eV/atom. The calculation puts the formation energy from the elements at -0.05 eV per atom. The calculation puts the total magnetization at 3.05 Bohr magnetons per cell. As for the offset from the most stable computed form: 0.065 eV/f.u.

Lattice parameters (Å, degrees): 2.8413 2.8413 6.4831 77.34 77.34 60.00
Last column: magnetic moment on the atom in μB.
Element x y z (fractional)
B 0.6664 0.6664 0.0009  -0.14
Fe 0.2750 0.2750 0.1749  1.63
Fe 0.0584 0.0584 0.8249  1.73
Zn 0.5002 0.5002 0.4993  -0.07



3.
Sr2Al3Cd4In | GGA-PBE | relaxed

Computed properties:
As for the final energy: -2.306 eV/atom. The calculation puts the formation energy from the elements at -0.21 eV per atom. The calculation puts the total magnetization at 0.00 Bohr magnetons per cell.

Lattice parameters (Å, degrees): 4.5951 4.5951 12.0271 90.00 90.00 90.00
Element x y z (fractional)
Sr 0.5000 0.0000 0.2413
Sr 0.0000 0.5000 0.7587
In 0.5000 0.5000 0.5000
Al 0.0000 0.5000 0.1314
Cd 0.5000 0.0000 0.6464
Cd 0.0000 0.0000 0.0000
Cd 0.0000 0.5000 0.3536
Al 0.0000 0.0000 0.5000
Cd 0.5000 0.5000 0.0000
Al 0.5000 0.0000 0.8686



4.
AcMgTc | GGA-PBE | relaxed

Computed properties:
As for the final energy: -5.232 eV/atom. The calculation puts the formation energy from the elements at 0.12 eV per atom. The calculation puts the total magnetization at 0.00 Bohr magnetons per cell.

Lattice parameters (Å, degrees): 4.5994 6.1289 9.3223 99.57 137.76 67.95
Element x y z (fractional)
Mg 0.4766 0.3233 0.5924
Tc 0.6835 0.5896 0.1518
Ac 0.5640 0.8290 0.8192
Ac 0.4360 0.1710 0.1808
Mg 0.5234 0.6767 0.4076
Tc 0.3165 0.4104 0.8482



5.
Y4HgIr | GGA-PBE | relaxed

Computed properties:
As for the final energy: -5.304 eV/atom. The calculation puts the formation energy from the elements at 0.53 eV per atom. The calculation puts the total magnetization at 0.00 Bohr magnetons per cell. As for the offset from the most stable computed form: 6.594 eV/f.u.

Lattice parameters (Å, degrees): 6.0105 6.0105 6.0105 60.00 60.00 60.00
Element x y z (fractional)
Y 0.3736 0.8791 0.3736
Ir 0.0000 0.0000 0.0000
Y 0.3736 0.3736 0.8791
Y 0.3736 0.3736 0.3736
Hg 0.7500 0.7500 0.7500
Y 0.8791 0.3736 0.3736



6.
K2Zn2HgS4 | GGA-PBE | relaxed

Computed properties:
As for the final energy: -3.180 eV/atom. The calculation puts the total magnetization at 0.00 Bohr magnetons per cell. The uncorrected formation energy is -785 meV per atom.

Lattice parameters (Å, degrees): 3.9020 7.3504 8.3522 109.09 103.51 90.00
Element x y z (fractional)
S 0.4684 0.2186 0.9368
S 0.7788 0.8100 0.5576
S 0.2212 0.1900 0.4424
K 0.8757 0.4732 0.7513
Hg 0.0000 0.0000 0.0000
Zn 0.3243 0.0067 0.6486
K 0.1243 0.5268 0.2487
S 0.5316 0.7814 0.0632
Zn 0.6757 0.9933 0.3514



7.
CaTeN2F | GGA-PBE | relaxed

Computed properties:
As for the final energy: -3.746 eV/atom. The calculation puts the total magnetization at 3.84 Bohr magnetons per cell. The uncorrected formation energy is 988 meV per atom. As for the offset from the most stable computed form: 6.139 eV/f.u.

Lattice parameters (Å, degrees): 4.7009 4.7009 4.1375 90.00 90.00 90.00
Last column: magnetic moment on the atom in μB.
Element x y z (fractional)
F 0.0000 0.0000 0.0000  0.14
Ca 0.5000 0.5000 0.5000  0.00
Te 0.0000 0.0000 0.5000  0.12
N 0.5000 0.0000 0.0000  1.21
N 0.0000 0.5000 0.0000  1.21



8.
TaAlCrOs | GGA-PBE | relaxed

Computed properties:
As for the final energy: -9.435 eV/atom. The calculation puts the formation energy from the elements at -0.32 eV per atom. The calculation puts the total magnetization at 1.98 Bohr magnetons per cell.

Lattice parameters (Å, degrees): 4.3744 4.3744 4.3744 60.00 60.00 60.00
Last column: magnetic moment on the atom in μB.
Element x y z (fractional)
Al 0.5000 0.5000 0.5000  -0.01
Cr 0.2500 0.2500 0.2500  1.85
Os 0.7500 0.7500 0.7500  0.20
Ta 0.0000 0.0000 0.0000  -0.18



9.
SmPaTlHg | GGA-PBE | relaxed

Computed properties:
As for the final energy: -4.204 eV/atom. The calculation puts the formation energy from the elements at 0.02 eV per atom. The calculation puts the total magnetization at 2.11 Bohr magnetons per cell.

Lattice parameters (Å, degrees): 5.3834 5.3834 5.3834 60.00 60.00 60.00
Last column: magnetic moment on the atom in μB.
Element x y z (fractional)
Tl 0.0000 0.0000 0.0000  0.00
Hg 0.5000 0.5000 0.5000  0.03
Pa 0.2500 0.2500 0.2500  1.26
Sm 0.7500 0.7500 0.7500  0.26



10.
KRe3 | GGA-PBE | relaxed

Computed properties:
As for the final energy: -8.825 eV/atom. The calculation puts the formation energy from the elements at 0.79 eV per atom. The calculation puts the total magnetization at 0.00 Bohr magnetons per cell. As for the offset from the most stable computed form: 0.231 eV/f.u.

Lattice parameters (Å, degrees): 2.7986 2.7986 10.5356 90.00 90.00 120.00
Element x y z (fractional)
Re 0.0000 0.0000 0.5000
K 0.0000 0.0000 0.0000
Re 0.6667 0.3333 0.2916
Re 0.6667 0.3333 0.7084



11.
PaSiRuRh | GGA-PBE | relaxed

Computed properties:
As for the final energy: -8.254 eV/atom. The calculation puts the total magnetization at 0.00 Bohr magnetons per cell. The uncorrected formation energy is -368 meV per atom.

Lattice parameters (Å, degrees): 3.4514 4.6211 4.7421 90.00 90.00 90.00
Element x y z (fractional)
Pa 0.5000 0.5000 0.5000
Ru 0.0000 0.0000 0.5000
Rh 0.0000 0.5000 0.0000
Si 0.0000 0.0000 0.0000



12.
Ce6IrRu5 | GGA-PBE | relaxed

Computed properties:
As for the final energy: -7.948 eV/atom. The calculation puts the formation energy from the elements at -0.38 eV per atom. The calculation puts the total magnetization at 0.00 Bohr magnetons per cell. As for the offset from the most stable computed form: 0.000 eV/f.u.

Lattice parameters (Å, degrees): 4.6150 7.0001 8.1734 89.94 106.49 90.10
Element x y z (fractional)
Ru 0.7411 0.4996 0.3101
Ru 0.5646 0.0005 0.3249
Ru 0.0000 0.5000 0.0000
Ce 0.8367 0.7495 0.6663
Ru 0.2589 0.5004 0.6899
Ir 0.0000 0.0000 0.0000
Ce 0.5000 0.7471 0.0004
Ce 0.1635 0.7495 0.3340
Ce 0.8365 0.2505 0.6660
Ru 0.4354 0.9995 0.6751
Ce 0.5000 0.2529 0.9996
Ce 0.1633 0.2505 0.3337



13.
NbPbN3 | GGA-PBE | relaxed

Computed properties:
As for the final energy: -7.394 eV/atom. The calculation puts the total magnetization at 1.89 Bohr magnetons per cell. The uncorrected formation energy is 357 meV per atom.

Lattice parameters (Å, degrees): 4.1534 4.1534 4.1534 90.00 90.00 90.00
Last column: magnetic moment on the atom in μB.
Element x y z (fractional)
N 0.0000 0.5000 0.0000  0.58
N 0.5000 0.0000 0.0000  0.40
Nb 0.0000 0.0000 0.0000  -0.21
N 0.0000 0.0000 0.5000  0.54
Pb 0.5000 0.5000 0.5000  0.00



14.
PmDy2YTm2 | GGA-PBE | relaxed

Computed properties:
As for the final energy: -4.821 eV/atom. The calculation puts the formation energy from the elements at 0.07 eV per atom. The calculation puts the total magnetization at 0.00 Bohr magnetons per cell.

Lattice parameters (Å, degrees): 5.6036 9.7263 6.9339 90.00 90.00 90.00
Element x y z (fractional)
Dy 0.0000 0.6669 0.7515
Y 0.0000 0.0000 0.5000
Dy 0.5000 0.8331 0.2515
Tm 0.0000 0.6663 0.2498
Pm 0.0000 0.0000 0.0000
Y 0.5000 0.5000 0.0000
Dy 0.0000 0.3331 0.2485
Tm 0.0000 0.3337 0.7502
Dy 0.5000 0.1669 0.7485
Tm 0.5000 0.8337 0.7498
Pm 0.5000 0.5000 0.5000
Tm 0.5000 0.1663 0.2502



15.
BaRhCl2 | GGA-PBE | relaxed

Computed properties:
As for the final energy: -4.164 eV/atom. The calculation puts the total magnetization at 1.00 Bohr magnetons per cell. The uncorrected formation energy is -922 meV per atom. As for the offset from the most stable computed form: 0.649 eV/f.u.

Lattice parameters (Å, degrees): 7.2548 7.2548 7.2548 41.23 41.23 41.23
Last column: magnetic moment on the atom in μB.
Element x y z (fractional)
Rh 0.0000 0.0000 0.0000  0.90
Cl 0.8838 0.8838 0.8838  0.00
Cl 0.1162 0.1162 0.1162  0.00
Ba 0.5000 0.5000 0.5000  -0.01



16.
La4Rh3Pb8 | GGA-PBE | relaxed

Computed properties:
As for the final energy: -5.195 eV/atom. The calculation puts the formation energy from the elements at -0.43 eV per atom. The calculation puts the total magnetization at 0.00 Bohr magnetons per cell.

Lattice parameters (Å, degrees): 4.7554 4.7554 18.5381 90.00 90.00 90.00
Element x y z (fractional)
La 0.0000 0.5000 0.0896
Pb 0.0000 0.0000 0.2400
Rh 0.5000 0.5000 0.5000
Pb 0.5000 0.5000 0.7649
Pb 0.0000 0.5000 0.9025
Rh 0.0000 0.0000 0.0000
Pb 0.5000 0.5000 0.2351
Pb 0.5000 0.0000 0.5874
Pb 0.0000 0.5000 0.4126
La 0.5000 0.0000 0.9104
La 0.5000 0.0000 0.3896
Rh 0.0000 0.0000 0.5000
Pb 0.0000 0.0000 0.7600
Pb 0.5000 0.0000 0.0975
La 0.0000 0.5000 0.6104



17.
Pu2HfF8 | GGA-PBE | relaxed

Computed properties:
As for the final energy: -8.237 eV/atom. The calculation puts the total magnetization at 12.00 Bohr magnetons per cell. The uncorrected formation energy is -3366 meV per atom.

Lattice parameters (Å, degrees): 3.7869 5.0928 8.8264 112.67 102.39 90.00
Last column: magnetic moment on the atom in μB.
Element x y z (fractional)
Pu 0.8269 0.3055 0.6538  5.73
Pu 0.1731 0.6945 0.3462  5.73
F 0.6174 0.3436 0.2347  -0.01
F 0.4133 0.1890 0.8266  -0.01
F 0.2244 0.2363 0.4488  -0.01
F 0.9818 0.7557 0.9636  0.00
F 0.7756 0.7637 0.5512  -0.01
F 0.5867 0.8110 0.1734  -0.01
F 0.0182 0.2443 0.0364  0.00
Hf 0.5000 0.0000 0.0000  0.20
F 0.3826 0.6564 0.7653  -0.01



18.
Mg4AgPd2Rh | GGA-PBE | relaxed

Computed properties:
As for the final energy: -3.920 eV/atom. The calculation puts the formation energy from the elements at -0.55 eV per atom. The calculation puts the total magnetization at 0.00 Bohr magnetons per cell.

Lattice parameters (Å, degrees): 4.5242 4.5242 7.8374 73.22 73.22 60.00
Element x y z (fractional)
Mg 0.6209 0.6209 0.1373
Rh 0.5000 0.5000 0.5000
Pd 0.7486 0.7486 0.7542
Pd 0.2514 0.2514 0.2458
Mg 0.3791 0.3791 0.8627
Mg 0.1288 0.1288 0.6136
Ag 0.0000 0.0000 0.0000
Mg 0.8712 0.8712 0.3864



19.
MgRe4Sb | GGA-PBE | relaxed

Computed properties:
As for the final energy: -8.746 eV/atom. The calculation puts the total magnetization at 0.00 Bohr magnetons per cell. The uncorrected formation energy is 506 meV per atom.

Lattice parameters (Å, degrees): 5.3043 5.3043 5.3043 60.00 60.00 60.00
Element x y z (fractional)
Re 0.3749 0.3749 0.8753
Re 0.3749 0.8753 0.3749
Sb 0.7500 0.7500 0.7500
Re 0.8753 0.3749 0.3749
Re 0.3749 0.3749 0.3749
Mg 0.0000 0.0000 0.0000



20.
ErThAl4 | GGA-PBE | relaxed

Computed properties:
As for the final energy: -4.944 eV/atom. The calculation puts the formation energy from the elements at -0.45 eV per atom. The calculation puts the total magnetization at 0.00 Bohr magnetons per cell. As for the offset from the most stable computed form: 0.000 eV/f.u.

Lattice parameters (Å, degrees): 5.6232 5.6232 5.6232 60.00 60.00 60.00
Element x y z (fractional)
Al 0.1248 0.6251 0.6251
Al 0.6251 0.6251 0.6251
Al 0.6251 0.1248 0.6251
Al 0.6251 0.6251 0.1248
Th 0.0000 0.0000 0.0000
Er 0.2500 0.2500 0.2500



21.
PmGdTc | GGA-PBE | relaxed

Computed properties:
As for the final energy: -9.696 eV/atom. The calculation puts the formation energy from the elements at 0.04 eV per atom. The calculation puts the total magnetization at 7.15 Bohr magnetons per cell.

Lattice parameters (Å, degrees): 3.4974 3.4974 6.9243 104.63 104.63 90.00
Last column: magnetic moment on the atom in μB.
Element x y z (fractional)
Gd 0.5778 0.5778 0.1555  7.07
Pm 0.3203 0.3203 0.6406  0.04
Tc 0.9519 0.9519 0.9038  -0.16



22.
SrTaRe2 | GGA-PBE | relaxed

Computed properties:
As for the final energy: -8.594 eV/atom. The calculation puts the formation energy from the elements at 1.01 eV per atom. The calculation puts the total magnetization at 0.00 Bohr magnetons per cell. As for the offset from the most stable computed form: 1.873 eV/f.u.

Lattice parameters (Å, degrees): 5.4599 5.4599 2.6725 90.00 90.00 106.52
Element x y z (fractional)
Sr 0.5000 0.0000 0.5000
Re 0.5000 0.5000 0.0000
Re 0.0000 0.0000 0.0000
Ta 0.0000 0.5000 0.5000



23.
NpAsPd | GGA-PBE | relaxed

Computed properties:
As for the final energy: -8.203 eV/atom. The calculation puts the formation energy from the elements at -0.61 eV per atom. The calculation puts the total magnetization at 24.34 Bohr magnetons per cell.

Lattice parameters (Å, degrees): 4.2620 6.9997 11.8111 90.69 90.00 90.00
Last column: magnetic moment on the atom in μB.
Element x y z (fractional)
As 0.2500 0.7585 0.9084  -0.06
Pd 0.7500 0.0064 0.9123  -0.06
As 0.7500 0.7701 0.5826  -0.08
Np 0.7500 0.0126 0.2927  3.84
Pd 0.7500 0.1558 0.5418  -0.05
As 0.2500 0.2299 0.4174  -0.08
Np 0.2500 0.9874 0.7073  3.84
Np 0.7500 0.5178 0.3780  3.90
As 0.7500 0.2415 0.0916  -0.06
Np 0.2500 0.3412 0.9243  3.87
Pd 0.7500 0.6433 0.7956  -0.02
Np 0.2500 0.4822 0.6220  3.90
Pd 0.2500 0.9936 0.0877  -0.06
Pd 0.2500 0.3567 0.2044  -0.02
As 0.2500 0.7224 0.2467  -0.07
Np 0.7500 0.6588 0.0757  3.87
As 0.7500 0.2776 0.7533  -0.07
Pd 0.2500 0.8442 0.4582  -0.05



24.
Ce4NdHg3 | GGA-PBE | relaxed

Computed properties:
As for the final energy: -3.952 eV/atom. The calculation puts the formation energy from the elements at -0.28 eV per atom. The calculation puts the total magnetization at 2.16 Bohr magnetons per cell.

Lattice parameters (Å, degrees): 5.4593 3.7680 12.0173 115.99 103.13 90.00
Last column: magnetic moment on the atom in μB.
Element x y z (fractional)
Hg 0.6299 0.8462 0.2598  0.00
Hg 0.3701 0.1538 0.7402  0.00
Ce 0.7554 0.6983 0.5109  0.41
Ce 0.8666 0.6472 0.7332  0.50
Ce 0.2446 0.3017 0.4891  0.41
Hg 0.0000 0.5000 0.0000  0.00
Nd 0.5000 0.0000 0.0000  -0.01
Ce 0.1334 0.3528 0.2668  0.50



25.
Nd6Al2Pt | GGA-PBE | relaxed

Computed properties:
As for the final energy: -5.007 eV/atom. The calculation puts the formation energy from the elements at -0.33 eV per atom. The calculation puts the total magnetization at 0.00 Bohr magnetons per cell.

Lattice parameters (Å, degrees): 5.8011 8.9980 10.2430 90.00 87.71 90.00
Element x y z (fractional)
Nd 0.4364 0.5165 0.7229
Nd 0.4325 0.8148 0.0653
Nd 0.9364 0.9835 0.2229
Pt 0.0000 0.0000 0.5000
Nd 0.5675 0.1852 0.9347
Nd 0.0625 0.3395 0.0666
Nd 0.9325 0.6852 0.5653
Nd 0.5636 0.4835 0.2771
Nd 0.0675 0.3148 0.4347
Nd 0.5625 0.1605 0.5666
Nd 0.4375 0.8395 0.4334
Al 0.4457 0.1389 0.2469
Al 0.0543 0.6389 0.2531
Al 0.5543 0.8611 0.7531
Al 0.9457 0.3611 0.7469
Nd 0.9375 0.6605 0.9334
Pt 0.5000 0.5000 0.0000
Nd 0.0636 0.0165 0.7771